Run 1
DFT (PBEsol) results for an optimized crystal structure of Li2LaSi2.

Cell lengths 2.8344, 7.8935, 7.8935 Å; angles 90.00, 90.00, 90.00 degrees
Closest atoms and distances in Å follow each position.
Atoms (fractional coordinates):
Si: 0.5000 0.1764 0.6764  6 Li 2.73-2.74, 2 Si 2.83
Si: 0.5000 0.6764 0.8236  6 Li 2.73-2.74, 2 Si 2.83
Si: 0.5000 0.8236 0.3236  6 Li 2.73-2.74, 2 Si 2.83
Si: 0.5000 0.3236 0.1764  6 Li 2.73-2.74, 2 Si 2.83
Li: 0.0000 0.3856 0.8856  3 Li 2.55-2.83, 6 Si 2.73-2.74
Li: 0.0000 0.8856 0.6144  3 Li 2.55-2.83, 6 Si 2.73-2.74
Li: 0.0000 0.6144 0.1144  3 Li 2.55-2.83, 6 Si 2.73-2.74
Li: 0.0000 0.1144 0.3856  3 Li 2.55-2.83, 6 Si 2.73-2.74
La: 0.0000 0.0000 0.0000  2 La 2.83
La: 0.0000 0.5000 0.5000  2 La 2.83

Total moment   0.0239 μB/atom

Run 2
DFT (PBEsol) results for an optimized crystal structure of Li2LaSi2.

Cell lengths 4.1908, 4.1908, 6.2238 Å; angles 109.67, 109.67, 90.00 degrees
Closest atoms and distances in Å follow each position.
Atoms (fractional coordinates):
Si: 0.3935 0.3935 0.7870  1 Si 2.33
Si: 0.6065 0.6065 0.2130  1 Si 2.33
La: 0.0000 0.0000 0.0000  8 Si 3.18, 8 Li 3.45
Li: 0.2500 0.7500 0.5000  4 Si 2.62
Li: 0.7500 0.2500 0.5000  4 Si 2.62

Total moment   0.0000 μB/atom

Quick one: most stable of them? run 2

Run 1
DFT (PBEsol) results for an optimized crystal structure of Zn2TcMo.

Cell lengths 2.7111, 2.7111, 9.0631 Å; angles 81.40, 81.40, 60.00 degrees
Closest atoms and distances in Å follow each position.
Atoms (fractional coordinates):
Mo: 0.0000 0.0000 0.0000  6 Mo 2.71, 6 Zn 2.76
Tc: 0.5000 0.5000 0.5000  6 Zn 2.69, 6 Tc 2.71
Zn: 0.2482 0.2482 0.2553  3 Tc 2.69, 6 Zn 2.71, 3 Mo 2.76
Zn: 0.7518 0.7518 0.7447  3 Tc 2.69, 6 Zn 2.71, 3 Mo 2.76

Total moment   0.0001 μB/atom

Run 2
DFT (PBEsol) results for an optimized crystal structure of Zn2TcMo.

Cell lengths 2.6036, 5.0156, 5.0156 Å; angles 117.71, 97.08, 97.08 degrees
Closest atoms and distances in Å follow each position.
Atoms (fractional coordinates):
Mo: 0.5000 0.5000 0.5000  2 Tc 2.59, 2 Mo 2.60, 4 Zn 2.68
Tc: 0.5000 0.0000 0.0000  2 Mo 2.59, 2 Tc 2.60, 4 Zn 2.68
Zn: 0.0000 0.0000 0.5000  4 Zn 2.59-2.60, 2 Mo 2.68, 2 Tc 2.68
Zn: 0.0000 0.5000 0.0000  4 Zn 2.59-2.60, 2 Tc 2.68, 2 Mo 2.68

Total moment   0.0001 μB/atom

Quick one: most stable of them? run 2